{
  "formula": "AcLuRu",
  "functional": "PBE",
  "state": "relaxed",
  "sg": "F-43m, No. 216",
  "e_tot_ev_per_atom": -6.122,
  "formation_energy_kcal_per_mol_atoms": -3.55,
  "lattice": [[-2.082, -1.731, 4.146], [2.429, -3.276, 2.809], [1.775, 1.362, 4.418]],
  "species": ["Lu", "Ru", "Ac"],
  "frac_coords": [[0.000, 0.000, 0.000], [0.250, 0.250, 0.250], [0.500, 0.500, 0.500]]
}

=====

{
  "formula": "Ac5Lu3S12",
  "functional": "PBE",
  "state": "relaxed",
  "sg": "Ia-3d, No. 230",
  "e_tot_ev_per_atom": -5.861,
  "e_form_raw_ev_per_atom": -1.68,
  "lattice": [[-5.044, 13.099, 3.726], [-11.136, -9.156, -1.754], [8.754, -4.973, 10.467]],
  "species": ["S", "Lu", "S", "Ac", "Lu", "S", "S", "Ac", "S", "Lu", "Lu", "S", "Ac", "S", "S", "S", "S", "Lu", "S", "S", "Lu", "S", "S", "S", "Ac", "Ac", "S", "Lu", "Ac", "S", "S", "Ac", "S", "S", "S", "Ac", "Lu", "Ac", "S", "Ac", "Ac", "S", "Ac", "S", "Ac", "S", "Ac", "Ac", "Ac", "S", "Ac", "Lu", "S", "S", "S", "S", "S", "S", "Ac", "S", "S", "S", "S", "Lu", "S", "S", "Ac", "S", "S", "S", "S", "S", "S", "S", "Lu", "Ac", "S", "S", "Lu", "S"],
  "frac_coords": [[0.392, 0.130, 0.566], [0.125, 0.250, 0.875], [0.936, 0.370, 0.262], [0.000, 0.000, 0.500], [0.750, 0.375, 0.125], [0.130, 0.738, 0.564], [0.174, 0.066, 0.936], [0.000, 0.000, 0.000], [0.934, 0.108, 0.870], [0.250, 0.625, 0.875], [0.375, 0.750, 0.625], [0.174, 0.108, 0.738], [0.750, 0.625, 0.375], [0.108, 0.934, 0.370], [0.674, 0.436, 0.566], [0.630, 0.064, 0.238], [0.870, 0.262, 0.436], [0.250, 0.125, 0.375], [0.564, 0.326, 0.934], [0.436, 0.674, 0.066], [0.375, 0.625, 0.250], [0.370, 0.936, 0.762], [0.436, 0.762, 0.870], [0.064, 0.630, 0.738], [0.625, 0.750, 0.875], [0.250, 0.375, 0.625], [0.238, 0.564, 0.630], [0.125, 0.875, 0.750], [0.375, 0.250, 0.125], [0.392, 0.262, 0.326], [0.870, 0.608, 0.934], [0.500, 0.000, 0.500], [0.892, 0.066, 0.630], [0.130, 0.392, 0.066], [0.326, 0.762, 0.392], [0.375, 0.125, 0.750], [0.875, 0.125, 0.250], [0.500, 0.500, 0.000], [0.738, 0.130, 0.064], [0.500, 0.500, 0.500], [0.250, 0.875, 0.125], [0.826, 0.892, 0.262], [0.625, 0.875, 0.250], [0.066, 0.174, 0.436], [0.750, 0.125, 0.875], [0.238, 0.674, 0.108], [0.000, 0.500, 0.000], [0.875, 0.250, 0.625], [0.500, 0.000, 0.000], [0.738, 0.608, 0.174], [0.125, 0.750, 0.375], [0.750, 0.875, 0.625], [0.936, 0.566, 0.174], [0.762, 0.326, 0.892], [0.566, 0.936, 0.674], [0.564, 0.238, 0.130], [0.262, 0.392, 0.826], [0.630, 0.566, 0.892], [0.875, 0.625, 0.750], [0.566, 0.630, 0.392], [0.066, 0.892, 0.130], [0.434, 0.370, 0.608], [0.608, 0.870, 0.434], [0.625, 0.250, 0.375], [0.370, 0.434, 0.108], [0.262, 0.870, 0.936], [0.000, 0.500, 0.500], [0.674, 0.238, 0.608], [0.326, 0.564, 0.434], [0.762, 0.436, 0.370], [0.892, 0.826, 0.762], [0.608, 0.738, 0.674], [0.826, 0.934, 0.064], [0.934, 0.826, 0.564], [0.625, 0.375, 0.750], [0.125, 0.375, 0.250], [0.434, 0.064, 0.326], [0.108, 0.174, 0.238], [0.875, 0.750, 0.125], [0.064, 0.434, 0.826]]
}

=====

{
  "formula": "AcLuSb3",
  "functional": "PBE",
  "state": "relaxed",
  "sg": "Pm-3m, No. 221",
  "e_tot_ev_per_atom": -4.553,
  "e_form_raw_ev_per_atom": -0.35,
  "lattice": [[-5.326, 1.753, 0.356], [-0.316, -2.021, 5.232], [1.760, 4.940, 2.015]],
  "species": ["Sb", "Lu", "Sb", "Sb", "Ac"],
  "frac_coords": [[0.000, 0.000, 0.500], [0.000, 0.000, 0.000], [0.500, 0.000, 0.000], [0.000, 0.500, 0.000], [0.500, 0.500, 0.500]]
}

=====

{
  "formula": "AcLuSb",
  "functional": "PBE",
  "state": "relaxed",
  "sg": "I4mm, No. 107",
  "e_tot_ev_per_atom": -4.825,
  "e_form_raw_ev_per_atom": -0.57,
  "lattice": [[-3.982, -0.535, 0.434], [-0.247, -1.266, -3.830], [3.073, -4.760, 3.507]],
  "species": ["Lu", "Ac", "Sb"],
  "frac_coords": [[0.250, 0.250, 0.500], [0.957, 0.957, 0.914], [0.643, 0.643, 0.285]]
}

=====

{
  "formula": "Ac2LuSb",
  "functional": "PBE",
  "state": "relaxed",
  "sg": "P4/mmm, No. 123",
  "e_tot_ev_per_atom": -4.605,
  "e_form_raw_ev_per_atom": -0.39,
  "lattice": [[4.912, 0.000, 0.000], [0.000, 5.249, 0.000], [0.000, 0.000, 5.249]],
  "species": ["Sb", "Lu", "Ac", "Ac"],
  "frac_coords": [[0.500, 0.000, 0.000], [0.500, 0.500, 0.500], [0.000, 0.500, 0.000], [0.000, 0.000, 0.500]]
}

=====

{
  "formula": "AcLuSb",
  "functional": "PBE",
  "state": "relaxed",
  "sg": "P-6m2, No. 187",
  "e_tot_ev_per_atom": -4.727,
  "e_form_raw_ev_per_atom": -0.48,
  "lattice": [[4.363, 0.000, 0.000], [0.000, 5.185, 0.000], [0.000, -2.592, 4.490]],
  "species": ["Ac", "Sb", "Lu"],
  "frac_coords": [[0.667, 0.333, 0.667], [0.167, 0.000, 0.000], [0.166, 0.667, 0.333]]
}

=====

{
  "formula": "AcLuSc",
  "functional": "PBE",
  "state": "relaxed",
  "sg": "I4mm, No. 107",
  "e_tot_ev_per_atom": -4.886,
  "formation_energy_kcal_per_mol_atoms": 2.33,
  "lattice": [[-0.303, -2.921, -2.696], [-0.525, -2.651, 2.931], [-5.649, 3.675, -0.399]],
  "species": ["Sc", "Ac", "Lu"],
  "frac_coords": [[0.680, 0.680, 0.360], [0.005, 0.005, 0.010], [0.315, 0.315, 0.629]]
}

=====

{
  "formula": "Ac2LuSc",
  "functional": "PBE",
  "state": "relaxed",
  "sg": "P4/mmm, No. 123",
  "e_tot_ev_per_atom": -4.687,
  "formation_energy_kcal_per_mol_atoms": 1.84,
  "lattice": [[-3.571, 0.758, 1.583], [-1.493, -3.198, -1.836], [2.061, -5.006, 7.043]],
  "species": ["Sc", "Lu", "Ac", "Ac"],
  "frac_coords": [[0.500, 0.500, 0.500], [0.500, 0.500, 0.000], [0.000, 0.000, 0.741], [0.000, 0.000, 0.259]]
}

=====

{
  "formula": "AcLuSc",
  "functional": "PBE",
  "state": "relaxed",
  "sg": "P-6m2, No. 187",
  "e_tot_ev_per_atom": -4.847,
  "formation_energy_kcal_per_mol_atoms": 3.23,
  "lattice": [[-3.382, 1.019, 0.020], [-1.611, -5.365, 0.729], [1.015, 3.279, 4.487]],
  "species": ["Lu", "Ac", "Sc"],
  "frac_coords": [[0.166, 0.000, 0.000], [0.667, 0.667, 0.333], [0.167, 0.333, 0.667]]
}

=====

{
  "formula": "Ac2LuSc",
  "functional": "PBE",
  "state": "relaxed",
  "sg": "Fm-3m, No. 225",
  "e_tot_ev_per_atom": -4.673,
  "formation_energy_kcal_per_mol_atoms": 2.17,
  "lattice": [[5.844, 0.000, 0.000], [2.922, 5.061, 0.000], [2.922, 1.687, 4.772]],
  "species": ["Ac", "Lu", "Ac", "Sc"],
  "frac_coords": [[0.250, 0.250, 0.250], [0.000, 0.000, 0.000], [0.750, 0.750, 0.750], [0.500, 0.500, 0.500]]
}

=====

{
  "formula": "Ac2LuSc",
  "functional": "PBE",
  "state": "relaxed",
  "sg": "P4/mmm, No. 123",
  "e_tot_ev_per_atom": -4.680,
  "formation_energy_kcal_per_mol_atoms": 2.01,
  "lattice": [[4.534, 0.000, 0.000], [0.000, 5.571, 0.000], [0.000, 0.000, 5.571]],
  "species": ["Ac", "Ac", "Lu", "Sc"],
  "frac_coords": [[0.000, 0.500, 0.000], [0.000, 0.000, 0.500], [0.500, 0.500, 0.500], [0.500, 0.000, 0.000]]
}

=====

{
  "formula": "AcSmLuSc",
  "functional": "PBE",
  "state": "relaxed",
  "sg": "F-43m, No. 216",
  "e_tot_ev_per_atom": -4.817,
  "formation_energy_kcal_per_mol_atoms": 2.37,
  "lattice": [[-2.333, 4.990, -1.489], [-3.944, 2.415, 3.341], [1.256, 4.726, 2.939]],
  "species": ["Sc", "Sm", "Lu", "Ac"],
  "frac_coords": [[0.000, 0.000, 0.000], [0.750, 0.750, 0.750], [0.500, 0.500, 0.500], [0.250, 0.250, 0.250]]
}